(1)
YNi3Ge PBE optimized geometry; symmetry = No. 65; ΔE to the lowest computed polymorph = 0.000 eV/atom
1.0
5.4334 0.0000 0.0000
0.0000 7.1152 0.0000
0.0000 0.0000 4.4221
Y Ni Ge
2 6 2
Direct
0.0000 0.0000 0.0000
0.5000 0.5000 0.0000
0.0000 0.5000 0.0000
0.2500 0.2500 0.5000
0.2500 0.7500 0.5000
0.5000 0.0000 0.0000
0.7500 0.2500 0.5000
0.7500 0.7500 0.5000
0.0000 0.5000 0.5000
0.5000 0.0000 0.5000

***

(2)
Y2Ni5Ge3 PBE optimized geometry; symmetry = No. 36; ΔE to the lowest computed polymorph = 0.000 eV/atom
1.0
1.9747 -11.7717 0.0000
1.9747 11.7717 0.0000
0.0000 0.0000 6.7392
Y Ni Ge
4 10 6
Direct
0.0220 0.9780 0.5000
0.3422 0.6578 0.0369
0.6578 0.3422 0.5369
0.9780 0.0220 0.0000
0.1049 0.8951 0.8336
0.2118 0.7882 0.8303
0.2129 0.7871 0.2002
0.3519 0.6481 0.5076
0.4480 0.5520 0.6813
0.5520 0.4480 0.1813
0.6481 0.3519 0.0076
0.7871 0.2129 0.7002
0.7882 0.2118 0.3303
0.8951 0.1049 0.3336
0.1127 0.8873 0.2021
0.2540 0.7460 0.5159
0.4486 0.5514 0.3079
0.5514 0.4486 0.8079
0.7460 0.2540 0.0159
0.8873 0.1127 0.7021

***

(3)
YNiGe2 PBE optimized geometry; symmetry = No. 225
1.0
6.6218 0.0000 0.0000
0.0000 6.6218 0.0000
0.0000 0.0000 6.6218
Y Ni Ge
4 4 8
Direct
0.0000 0.0000 0.0000
0.0000 0.5000 0.5000
0.5000 0.0000 0.5000
0.5000 0.5000 0.0000
0.0000 0.0000 0.5000
0.0000 0.5000 0.0000
0.5000 0.0000 0.0000
0.5000 0.5000 0.5000
0.2500 0.2500 0.2500
0.2500 0.2500 0.7500
0.2500 0.7500 0.2500
0.2500 0.7500 0.7500
0.7500 0.2500 0.2500
0.7500 0.2500 0.7500
0.7500 0.7500 0.2500
0.7500 0.7500 0.7500

***

(4)
YNiGe PBE optimized geometry; symmetry = No. 187
1.0
4.1945 0.0000 0.0000
-2.0972 3.6325 0.0000
0.0000 0.0000 3.6547
Y Ni Ge
1 1 1
Direct
0.0000 0.0000 0.0000
0.3333 0.6667 0.5000
0.6667 0.3333 0.5000

***

(5)
YNi3Ge3 PBE optimized geometry; symmetry = No. 223
1.0
6.4008 0.0000 0.0000
0.0000 6.4008 0.0000
0.0000 0.0000 6.4008
Y Ni Ge
2 6 6
Direct
0.0000 0.0000 0.0000
0.5000 0.5000 0.5000
0.0000 0.2500 0.5000
0.0000 0.7500 0.5000
0.2500 0.5000 0.0000
0.5000 0.0000 0.2500
0.5000 0.0000 0.7500
0.7500 0.5000 0.0000
0.0000 0.5000 0.2500
0.0000 0.5000 0.7500
0.2500 0.0000 0.5000
0.5000 0.2500 0.0000
0.5000 0.7500 0.0000
0.7500 0.0000 0.5000

***

(6)
YNi2Ge2 PBE optimized geometry; symmetry = No. 127
1.0
7.4442 0.0000 0.0000
0.0000 7.4442 0.0000
0.0000 0.0000 2.8642
Y Ni Ge
2 4 4
Direct
0.0000 0.0000 0.0000
0.5000 0.5000 0.0000
0.1450 0.3550 0.5000
0.3550 0.8550 0.5000
0.6450 0.1450 0.5000
0.8550 0.6450 0.5000
0.1394 0.6394 0.0000
0.3606 0.1394 0.0000
0.6394 0.8606 0.0000
0.8606 0.3606 0.0000

***

(7)
YNi2Ge4 PBE optimized geometry; symmetry = No. 62
1.0
17.3582 0.0000 0.0000
0.0000 4.0740 0.0000
0.0000 0.0000 6.6148
Y Ni Ge
4 8 16
Direct
0.1401 0.2500 0.0209
0.3599 0.7500 0.5209
0.6401 0.2500 0.4791
0.8599 0.7500 0.9791
0.0343 0.7500 0.7548
0.2099 0.2500 0.4873
0.2901 0.7500 0.9873
0.4657 0.2500 0.2548
0.5343 0.7500 0.7452
0.7099 0.2500 0.0127
0.7901 0.7500 0.5127
0.9657 0.2500 0.2452
0.0270 0.7500 0.1380
0.0654 0.2500 0.5176
0.1771 0.7500 0.7003
0.2037 0.7500 0.2910
0.2963 0.2500 0.7910
0.3229 0.2500 0.2003
0.4346 0.7500 0.0176
0.4730 0.2500 0.6380
0.5270 0.7500 0.3620
0.5654 0.2500 0.9824
0.6771 0.7500 0.7997
0.7037 0.7500 0.2090
0.7963 0.2500 0.7090
0.8229 0.2500 0.2997
0.9346 0.7500 0.4824
0.9730 0.2500 0.8620

***

(8)
Y4Ni3Ge PBE optimized geometry; symmetry = No. 25
1.0
3.9643 0.0000 0.0000
0.0000 4.0965 0.0000
0.0000 0.0000 10.4200
Y Ni Ge
4 3 1
Direct
0.0000 0.0000 0.0000
0.0000 0.5000 0.2761
0.5000 0.0000 0.4895
0.5000 0.5000 0.7778
0.0000 0.5000 0.5603
0.5000 0.0000 0.2020
0.5000 0.5000 0.0679
0.0000 0.0000 0.7064

***

Table of ΔH_f (0 K) (kJ/mol of formula units), in record order: -64, -567, -82, -221, -94, -119, -290, -421